First-principles (GGA-PBE) data for a geometry-optimized USi4Rh6 structure, as listed in the Alexandria database.

The value obtained for the density of states at the Fermi level is 0.90 states/eV/atom. The crystal system is hexagonal. For the raw formation energy, the calculation gives -874 meV/atom. Its electronic total energy is -7.8821 eV/atom. The magnetic moment is 1.8 μB per formula unit.

abc: 7.0373 7.0373 3.7742
angles: 90.00 90.00 120.00
Space group P-6m2 (No. 187)
One atom of each set of equivalent atoms:
U (0.0000, 0.0000, 0.0000) x1
Si (0.3333, 0.6667, 0.0000) x1
Si (0.4023, 0.2011, 0.5000) x3
Rh (0.1958, 0.3917, 0.5000) x3
Rh (0.5324, 0.0648, 0.0000) x3